# 1
This record from Alexandria via LeMat-Bulk describes a relaxed structure of ZnCrSe2Br. The functional is GGA-PBE.

CIF file:
```
data_ZnCrSe2Br
_chemical_formula_sum 'Zn1 Cr1 Se2 Br1'
_cell_length_a 4.814
_cell_length_b 4.814
_cell_length_c 5.218
_cell_angle_alpha 90.00
_cell_angle_beta 90.00
_cell_angle_gamma 90.00
_symmetry_space_group_name_H-M 'P 4/m m m'
_symmetry_Int_Tables_number 123
_symmetry_space_group_name_Hall '-P 4 2'
loop_
_atom_site_label
_atom_site_fract_x
_atom_site_fract_y
_atom_site_fract_z
Zn1 0.000 0.000 0.000
Cr1 0.500 0.500 0.500
Se1 0.000 0.500 0.500
Br1 0.500 0.500 0.000
```

# 2
This record from Alexandria via LeMat-Bulk describes a relaxed structure of ZnCrSeBr2. The functional is GGA-PBE.

CIF file:
```
data_ZnCrSeBr2
_chemical_formula_sum 'Zn1 Cr1 Se1 Br2'
_cell_length_a 5.092
_cell_length_b 5.092
_cell_length_c 5.089
_cell_angle_alpha 90.00
_cell_angle_beta 90.00
_cell_angle_gamma 90.00
_symmetry_space_group_name_H-M 'P 4/m m m'
_symmetry_Int_Tables_number 123
_symmetry_space_group_name_Hall '-P 4 2'
loop_
_atom_site_label
_atom_site_fract_x
_atom_site_fract_y
_atom_site_fract_z
Zn1 0.000 0.000 0.000
Cr1 0.500 0.500 0.500
Se1 0.000 0.000 0.500
Br1 0.000 0.500 0.000
```

# 3
This record from Alexandria via LeMat-Bulk describes a relaxed structure of ZnCrSeBr2. The functional is GGA-PBE.

CIF file:
```
data_ZnCrSeBr2
_chemical_formula_sum 'Zn1 Cr1 Se1 Br2'
_cell_length_a 5.186
_cell_length_b 5.186
_cell_length_c 4.810
_cell_angle_alpha 90.00
_cell_angle_beta 90.00
_cell_angle_gamma 90.00
_symmetry_space_group_name_H-M 'P 4/m m m'
_symmetry_Int_Tables_number 123
_symmetry_space_group_name_Hall '-P 4 2'
loop_
_atom_site_label
_atom_site_fract_x
_atom_site_fract_y
_atom_site_fract_z
Zn1 0.000 0.000 0.000
Cr1 0.500 0.500 0.500
Se1 0.500 0.500 0.000
Br1 0.000 0.500 0.500
```

# 4
This record from Alexandria via LeMat-Bulk describes a relaxed structure of ZnCrSe2Br. The functional is GGA-PBE.

CIF file:
```
data_ZnCrSe2Br
_chemical_formula_sum 'Zn1 Cr1 Se2 Br1'
_cell_length_a 4.648
_cell_length_b 4.648
_cell_length_c 6.589
_cell_angle_alpha 90.00
_cell_angle_beta 90.00
_cell_angle_gamma 90.00
_symmetry_space_group_name_H-M 'P 4/m m m'
_symmetry_Int_Tables_number 123
_symmetry_space_group_name_Hall '-P 4 2'
loop_
_atom_site_label
_atom_site_fract_x
_atom_site_fract_y
_atom_site_fract_z
Zn1 0.000 0.000 0.000
Cr1 0.000 0.000 0.500
Se1 0.000 0.500 0.000
Br1 0.500 0.500 0.500
```

# 5
This record from Alexandria via LeMat-Bulk describes a relaxed structure of ZnCrSe2Br. The functional is GGA-PBE.

CIF file:
```
data_ZnCrSe2Br
_chemical_formula_sum 'Zn1 Cr1 Se2 Br1'
_cell_length_a 4.900
_cell_length_b 4.900
_cell_length_c 5.251
_cell_angle_alpha 90.00
_cell_angle_beta 90.00
_cell_angle_gamma 90.00
_symmetry_space_group_name_H-M 'P 4/m m m'
_symmetry_Int_Tables_number 123
_symmetry_space_group_name_Hall '-P 4 2'
loop_
_atom_site_label
_atom_site_fract_x
_atom_site_fract_y
_atom_site_fract_z
Zn1 0.000 0.000 0.000
Cr1 0.500 0.500 0.500
Se1 0.000 0.500 0.000
Br1 0.000 0.000 0.500
```

# 6
This record from Alexandria via LeMat-Bulk describes a relaxed structure of ZrCrSeBr2. The functional is GGA-PBE.

CIF file:
```
data_ZrCrSeBr2
_chemical_formula_sum 'Zr1 Cr1 Se1 Br2'
_cell_length_a 4.962
_cell_length_b 4.962
_cell_length_c 5.121
_cell_angle_alpha 90.00
_cell_angle_beta 90.00
_cell_angle_gamma 90.00
_symmetry_space_group_name_H-M 'P 4/m m m'
_symmetry_Int_Tables_number 123
_symmetry_space_group_name_Hall '-P 4 2'
loop_
_atom_site_label
_atom_site_fract_x
_atom_site_fract_y
_atom_site_fract_z
Zr1 0.000 0.000 0.000
Cr1 0.500 0.500 0.500
Se1 0.500 0.500 0.000
Br1 0.000 0.500 0.500
```

no.,energy above the most stable polymorph in this dataset (eV per formula unit),E_form (uncorrected) (kJ per mole of atoms),density (kg/m3)
1,0.00,9.2,4878
2,1.18,16.9,4482
3,0.00,-5.8,4572
4,1.95,46.9,4144
5,1.40,36.3,4679
6,0.00,10.5,5031